[1]
Density functional theory data (GGA-PBE) for a relaxed structure of La2HfScSi.

It has space group P4/mmm (No. 123), with a = 5.4250 Å, b = 5.4250 Å, c = 5.0293 Å, α = 90.00°, β = 90.00° and γ = 90.00°. Symmetry generates all atoms from La at (0.0000, 0.5000, 0.0000), Hf at (0.0000, 0.0000, 0.5000), Sc at (0.5000, 0.5000, 0.0000) and Si at (0.5000, 0.5000, 0.5000).

Its uncorrected energy is -27.35 eV per cell. For the total magnetic moment, the calculation gives 0.6 μB per cell. The value obtained for the uncorrected formation energy is 81 kJ/mol of atoms. For the density of states at the Fermi level, the calculation gives 7.4 states/eV/f.u. The calculation puts the volume at 148 Å³ per cell.

=====

[2]
Density functional theory data (GGA-PBE) for a relaxed structure of Hg12Br3F5.

It has space group Ia-3d (No. 230), with a = 16.8446 Å, b = 16.8446 Å, c = 16.8446 Å, α = 90.00°, β = 90.00° and γ = 90.00°. Symmetry generates all atoms from Hg at (0.0575, 0.1188, 0.9225), Br at (0.0000, 0.2500, 0.1250), F at (0.0000, 0.0000, 0.0000) and F at (0.0000, 0.2500, 0.3750).

Its uncorrected energy is -213.75 eV per cell. For the total magnetic moment, the calculation gives 0.0 μB per cell. The value obtained for the uncorrected formation energy is -42 kJ/mol of atoms. For the density of states at the Fermi level, the calculation gives 2.1 states/eV/f.u. The calculation puts the volume at 4779 Å³ per cell.

=====

[3]
Density functional theory data (GGA-PBE) for a relaxed structure of RbGaSb2.

It has space group P2/c (No. 13), with a = 6.5587 Å, b = 7.7788 Å, c = 12.0439 Å, α = 90.00°, β = 108.75° and γ = 90.00°. Symmetry generates all atoms from Rb at (0.2074, 0.2084, 0.1456), Ga at (0.2632, 0.4162, 0.8788), Sb at (0.1459, 0.2634, 0.6604) and Sb at (0.3592, 0.2651, 0.4829).

Its uncorrected energy is -51.71 eV per cell. For the total magnetic moment, the calculation gives 0.0 μB per cell. The value obtained for the uncorrected formation energy is -17 kJ/mol of atoms. For the density of states at the Fermi level, the calculation gives 0.4 states/eV/f.u. The calculation puts the volume at 582 Å³ per cell.

=====

[4]
Density functional theory data (GGA-PBE) for a relaxed structure of GaTcAg3.

It has space group Pm-3m (No. 221), with a = 4.7714 Å, b = 4.7714 Å, c = 4.7714 Å, α = 90.00°, β = 90.00° and γ = 90.00°. Symmetry generates all atoms from Ga at (0.0000, 0.0000, 0.0000), Tc at (0.5000, 0.5000, 0.5000) and Ag at (0.0000, 0.0000, 0.5000).

Its uncorrected energy is -16.55 eV per cell. As for the distance to the lowest polymorph of the same formula: 0.0000 eV per atom. For the total magnetic moment, the calculation gives 3.5 μB per cell. For the density of states at the Fermi level, the calculation gives 6.2 states/eV/f.u. The calculation puts the volume at 109 Å³ per cell. The calculation puts the energy of formation at 1.079 eV/atom.

=====

[5]
Density functional theory data (GGA-PBE) for a relaxed structure of Li2InHg6.

It has space group C2/c (No. 15), with a = 13.0783 Å, b = 9.9604 Å, c = 6.5576 Å, α = 90.00°, β = 95.12° and γ = 90.00°. Symmetry generates all atoms from Li at (0.1646, 0.1303, 0.4131), In at (0.0000, 0.3820, 0.2500), Hg at (0.0617, 0.1249, 0.0082), Hg at (0.1163, 0.3504, 0.6768) and Hg at (0.2315, 0.3788, 0.1695).

Its uncorrected energy is -38.58 eV per cell. As for the distance to the lowest polymorph of the same formula: 0.0041 eV per atom. For the total magnetic moment, the calculation gives 0.0 μB per cell. For the density of states at the Fermi level, the calculation gives 2.7 states/eV/f.u. The calculation puts the volume at 851 Å³ per cell. The calculation puts the energy of formation at -0.141 eV/atom.

=====

[6]
Density functional theory data (GGA-PBE) for a relaxed structure of PuCoMo2.

It has space group R-3m (No. 166, hexagonal axes), with a = 2.7255 Å, b = 2.7255 Å, c = 29.4939 Å, α = 90.00°, β = 90.00° and γ = 120.00°. Symmetry generates all atoms from Pu at (0.0000, 0.0000, 0.0000), Co at (0.0000, 0.0000, 0.5000) and Mo at (0.0000, 0.0000, 0.2381).

Its uncorrected energy is -124.20 eV per cell. For the total magnetic moment, the calculation gives 11.2 μB per cell. For the density of states at the Fermi level, the calculation gives 7.2 states/eV/f.u. The calculation puts the volume at 190 Å³ per cell. The calculation puts the energy of formation at 0.425 eV/atom.

=====

[7]
Density functional theory data (GGA-PBE) for a relaxed structure of La2ScCu2.

It has space group I4/mmm (No. 139), with a = 5.7588 Å, b = 5.7588 Å, c = 7.9640 Å, α = 90.00°, β = 90.00° and γ = 90.00°. Symmetry generates all atoms from La at (0.0000, 0.5000, 0.2500), Sc at (0.0000, 0.0000, 0.0000) and Cu at (0.0000, 0.0000, 0.3533).

Its uncorrected energy is -48.00 eV per cell. As for the distance to the lowest polymorph of the same formula: 0.1814 eV per atom. For the total magnetic moment, the calculation gives 0.0 μB per cell. For the density of states at the Fermi level, the calculation gives 6.7 states/eV/f.u. The calculation puts the volume at 264 Å³ per cell. The calculation puts the energy of formation at 0.075 eV/atom.

=====

[8]
Density functional theory data (GGA-PBE) for a relaxed structure of KRhNO2.

It has space group P4/mmm (No. 123), with a = 4.4329 Å, b = 4.4329 Å, c = 4.4201 Å, α = 90.00°, β = 90.00° and γ = 90.00°. Symmetry generates all atoms from K at (0.0000, 0.0000, 0.0000), Rh at (0.5000, 0.5000, 0.5000), N at (0.0000, 0.0000, 0.5000) and O at (0.0000, 0.5000, 0.0000).

Its uncorrected energy is -15.45 eV per cell. For the total magnetic moment, the calculation gives 3.6 μB per cell. The value obtained for the uncorrected formation energy is 217 kJ/mol of atoms. For the density of states at the Fermi level, the calculation gives 7.6 states/eV/f.u. The calculation puts the volume at 87 Å³ per cell.

=====

> uncorrected energy of number 4 (GaTcAg3)?

-16.55 eV per cell

=====

> Among the records above, which one has the highest total magnetic moment?

PuCoMo2

=====

> uncorrected energy of number 2 (Hg12Br3F5)?

-213.75 eV per cell

=====

> Which value of total magnetic moment does entry 2 give?

0.0 μB per cell